The following is a PBE+U calculation of a geometry-optimized Li2TaWO6 structure, from the Alexandria database.

Calculated total energy ... -7.595 eV/atom
Total magnetization ... 1.00 μB per formula unit
Density of states at the Fermi level ... 0.00 states/eV/f.u.
Calculated density ... 6197 kg/m3
Symmetry ... P4mm (99)

Structure (CIF):
```
data_Li2TaWO6
_space_group_name_H-M_alt 'P 1'
_space_group_IT_number 1
_space_group_name_Hall 'P 1'
_cell_length_a 5.6446
_cell_length_b 5.6446
_cell_length_c 3.9919
_cell_angle_alpha 90.00
_cell_angle_beta 90.00
_cell_angle_gamma 90.00
loop_
_atom_site_label
_atom_site_fract_x
_atom_site_fract_y
_atom_site_fract_z
_atom_site_occupancy
Li1 0.0000 0.5000 0.0000 1
Li2 0.5000 0.0000 0.0000 1
Ta1 0.0000 0.0000 0.7885 1
W1 0.5000 0.5000 0.7774 1
O1 0.0000 0.0000 0.3247 1
O2 0.2493 0.2493 0.8455 1
O3 0.2493 0.7507 0.8455 1
O4 0.5000 0.5000 0.3173 1
O5 0.7507 0.2493 0.8455 1
O6 0.7507 0.7507 0.8455 1
```